# 1
Below is a relaxed structure of Ce2TmSc7, with properties calculated at the GGA-PBE level.

The structure in CIF format:
```
data_Ce2TmSc7
_chemical_formula_sum 'Ce2 Tm1 Sc7'
_space_group_name_H-M_alt 'P 1'
_space_group_IT_number 1
_space_group_name_Hall 'P 1'
_cell_length_a 11.3215
_cell_length_b 11.3215
_cell_length_c 3.1579
_cell_angle_alpha 90.02
_cell_angle_beta 90.02
_cell_angle_gamma 138.67
loop_
_atom_site_label
_atom_site_type_symbol
_atom_site_fract_x
_atom_site_fract_y
_atom_site_fract_z
Ce1 Ce 0.1247 0.8753 0.0000
Ce2 Ce 0.8753 0.1247 0.0000
Tm1 Tm 0.5000 0.5000 0.5000
Sc1 Sc 0.0000 0.0000 0.0000
Sc2 Sc 0.1911 0.4648 0.0000
Sc3 Sc 0.2462 0.7538 0.5000
Sc4 Sc 0.4648 0.1911 0.0000
Sc5 Sc 0.5352 0.8089 0.0000
Sc6 Sc 0.7538 0.2462 0.5000
Sc7 Sc 0.8089 0.5352 0.0000
```

Computed properties:
Formation enthalpy at 0 K: 533 meV per atom

# 2
Below is a relaxed structure of Ce2TmSc4, with properties calculated at the GGA-PBE level.

The structure in CIF format:
```
data_Ce2TmSc4
_chemical_formula_sum 'Ce2 Tm1 Sc4'
_space_group_name_H-M_alt 'P 1'
_space_group_IT_number 1
_space_group_name_Hall 'P 1'
_cell_length_a 5.7811
_cell_length_b 5.7811
_cell_length_c 9.9940
_cell_angle_alpha 95.68
_cell_angle_beta 95.68
_cell_angle_gamma 33.62
loop_
_atom_site_label
_atom_site_type_symbol
_atom_site_fract_x
_atom_site_fract_y
_atom_site_fract_z
Ce1 Ce 0.2183 0.2183 0.3541
Ce2 Ce 0.7817 0.7817 0.6459
Tm1 Tm 0.5000 0.5000 0.5000
Sc1 Sc 0.0706 0.0706 0.7933
Sc2 Sc 0.3568 0.3568 0.9301
Sc3 Sc 0.6432 0.6432 0.0699
Sc4 Sc 0.9294 0.9294 0.2067
```

Computed properties:
Formation enthalpy at 0 K: 72 meV per atom
Energy above the lowest structure with this stoichiometry: 0 meV/atom

# 3
Below is a relaxed structure of CeTm2Sc, with properties calculated at the GGA-PBE level.

The structure in CIF format:
```
data_CeTm2Sc
_chemical_formula_sum 'Ce1 Tm2 Sc1'
_space_group_name_H-M_alt 'P 1'
_space_group_IT_number 1
_space_group_name_Hall 'P 1'
_cell_length_a 5.4854
_cell_length_b 5.4854
_cell_length_c 5.4854
_cell_angle_alpha 60.00
_cell_angle_beta 60.00
_cell_angle_gamma 60.00
loop_
_atom_site_label
_atom_site_type_symbol
_atom_site_fract_x
_atom_site_fract_y
_atom_site_fract_z
Ce1 Ce 0.0000 0.0000 0.0000
Tm1 Tm 0.2500 0.2500 0.2500
Tm2 Tm 0.7500 0.7500 0.7500
Sc1 Sc 0.5000 0.5000 0.5000
```

Computed properties:
Formation enthalpy at 0 K: 164 meV per atom
Energy above the lowest structure with this stoichiometry: 96 meV/atom

# 4
Below is a relaxed structure of Ce2TmSc, with properties calculated at the GGA-PBE level.

The structure in CIF format:
```
data_Ce2TmSc
_chemical_formula_sum 'Ce2 Tm1 Sc1'
_space_group_name_H-M_alt 'P 1'
_space_group_IT_number 1
_space_group_name_Hall 'P 1'
_cell_length_a 4.7717
_cell_length_b 4.7717
_cell_length_c 4.9226
_cell_angle_alpha 90.00
_cell_angle_beta 90.00
_cell_angle_gamma 90.00
loop_
_atom_site_label
_atom_site_type_symbol
_atom_site_fract_x
_atom_site_fract_y
_atom_site_fract_z
Ce1 Ce 0.0000 0.5000 0.0000
Ce2 Ce 0.5000 0.0000 0.0000
Tm1 Tm 0.0000 0.0000 0.5000
Sc1 Sc 0.5000 0.5000 0.5000
```

Computed properties:
Formation enthalpy at 0 K: 102 meV per atom
Energy above the lowest structure with this stoichiometry: 18 meV/atom

# 5
Below is a relaxed structure of CeTmSc, with properties calculated at the GGA-PBE level.

The structure in CIF format:
```
data_CeTmSc
_chemical_formula_sum 'Ce1 Tm1 Sc1'
_space_group_name_H-M_alt 'P 1'
_space_group_IT_number 1
_space_group_name_Hall 'P 1'
_cell_length_a 7.6216
_cell_length_b 7.6216
_cell_length_c 7.6216
_cell_angle_alpha 154.24
_cell_angle_beta 154.24
_cell_angle_gamma 36.76
loop_
_atom_site_label
_atom_site_type_symbol
_atom_site_fract_x
_atom_site_fract_y
_atom_site_fract_z
Ce1 Ce 0.0000 0.0000 0.0000
Tm1 Tm 0.6719 0.6719 0.0000
Sc1 Sc 0.3397 0.3397 0.0000
```

Computed properties:
Formation enthalpy at 0 K: 83 meV per atom
Energy above the lowest structure with this stoichiometry: 17 meV/atom

# 6
Below is a relaxed structure of Ce2TmSc4, with properties calculated at the GGA-PBE level.

The structure in CIF format:
```
data_Ce2TmSc4
_chemical_formula_sum 'Ce2 Tm1 Sc4'
_space_group_name_H-M_alt 'P 1'
_space_group_IT_number 1
_space_group_name_Hall 'P 1'
_cell_length_a 8.8633
_cell_length_b 8.8633
_cell_length_c 8.8633
_cell_angle_alpha 145.89
_cell_angle_beta 145.89
_cell_angle_gamma 49.01
loop_
_atom_site_label
_atom_site_type_symbol
_atom_site_fract_x
_atom_site_fract_y
_atom_site_fract_z
Ce1 Ce 0.1284 0.1284 0.0000
Ce2 Ce 0.8716 0.8716 0.0000
Tm1 Tm 0.5000 0.5000 0.0000
Sc1 Sc 0.0000 0.5000 0.5000
Sc2 Sc 0.3210 0.3210 0.0000
Sc3 Sc 0.5000 0.0000 0.5000
Sc4 Sc 0.6790 0.6790 0.0000
```

Computed properties:
Formation enthalpy at 0 K: 760 meV per atom
Energy above the lowest structure with this stoichiometry: 689 meV/atom

- Among the records above, which one has the highest formation enthalpy at 0 K?
  number 6

- formation enthalpy at 0 K of number 5 (CeTmSc)?
  83 meV per atom

- formation enthalpy at 0 K of number 1 (Ce2TmSc7)?
  533 meV per atom